A plane-wave DFT calculation with PBE was carried out for an optimized crystal structure of Zr3TiTe.

Lattice parameters (Å, degrees): 4.9914 4.9914 4.9914 90.00 90.00 90.00
Atoms (fractional coordinates):
Zr 0.0000 0.0000 0.5000
Zr 0.0000 0.5000 0.0000
Zr 0.5000 0.0000 0.0000
Ti 0.0000 0.0000 0.0000
Te 0.5000 0.5000 0.5000

Output
* Fermi-level density of states: 10.01 states/eV per cell
* total moment: 0.00 μB per atom
* formation energy from raw total energies: 0.578 eV/atom
* distance to the lowest polymorph of the same formula: 0.0 meV/atom

A plane-wave DFT calculation with PBE was carried out for an optimized crystal structure of Zr2TiTe.

Lattice parameters (Å, degrees): 3.6748 3.6748 6.2982 90.00 90.00 90.00
Atoms (fractional coordinates):
Zr 0.0000 0.0000 0.2470
Zr 0.0000 0.0000 0.7530
Ti 0.5000 0.5000 0.0000
Te 0.5000 0.5000 0.5000

Output
* Fermi-level density of states: 5.18 states/eV per cell
* total moment: 0.00 μB per atom
* formation energy from raw total energies: -0.350 eV/atom

A plane-wave DFT calculation with PBE was carried out for an optimized crystal structure of ZrTiTe2.

Lattice parameters (Å, degrees): 7.6492 7.6492 7.6492 128.73 128.73 75.45
Atoms (fractional coordinates):
Zr 0.0000 0.0000 0.0000
Zr 0.7500 0.2500 0.5000
Ti 0.2500 0.7500 0.5000
Ti 0.5000 0.5000 0.0000
Te 0.1393 0.6250 0.0143
Te 0.3750 0.3893 0.5143
Te 0.6107 0.1250 0.9857
Te 0.8750 0.8607 0.4857

Output
* Fermi-level density of states: 12.86 states/eV per cell
* total moment: 0.66 μB per atom
* formation energy from raw total energies: -0.109 eV/atom
* distance to the lowest polymorph of the same formula: 600.7 meV/atom

A plane-wave DFT calculation with PBE was carried out for an optimized crystal structure of ZrTiTe2.

Lattice parameters (Å, degrees): 4.9526 4.9526 3.5104 90.00 90.00 90.00
Atoms (fractional coordinates):
Zr 0.0000 0.0000 0.0000
Ti 0.5000 0.5000 0.0000
Te 0.0000 0.5000 0.5000
Te 0.5000 0.0000 0.5000

Output
* Fermi-level density of states: 1.65 states/eV per cell
* total moment: 0.00 μB per atom
* formation energy from raw total energies: -0.582 eV/atom
* distance to the lowest polymorph of the same formula: 127.4 meV/atom